Entry 1:
# Sm3Ge2Rh5, relaxed, DFT PBE-GGA
data_Sm3Ge2Rh5
_chemical_formula_sum 'Sm6 Ge4 Rh10'
_cell_length_a 10.088
_cell_length_b 10.088
_cell_length_c 3.715
_cell_angle_alpha 90.00
_cell_angle_beta 90.00
_cell_angle_gamma 90.00
_space_group_name_H-M_alt 'P 4/m b m'
_space_group_IT_number 127
_space_group_name_Hall '-P 4 2ab'
loop_
_atom_site_label
_atom_site_fract_x
_atom_site_fract_y
_atom_site_fract_z
Sm1 0.000 0.000 0.000
Sm2 0.174 0.326 0.000
Ge1 0.122 0.622 0.000
Rh1 0.000 0.500 0.500
Rh2 0.070 0.780 0.500
# - mass density (g/cm3) = 9.76
# - DFT formation energy (meV per atom) = -794
# - density of states at the Fermi level (states/eV per atom) = 0.453
# - spin magnetization (μB/cell) = 0.000

=====

Entry 2:
# Sm12Ge5Rh3, relaxed, DFT PBE-GGA
data_Sm12Ge5Rh3
_chemical_formula_sum 'Sm96 Ge40 Rh24'
_cell_length_a 17.027
_cell_length_b 17.027
_cell_length_c 17.027
_cell_angle_alpha 90.00
_cell_angle_beta 90.00
_cell_angle_gamma 90.00
_space_group_name_H-M_alt 'I a -3 d'
_space_group_IT_number 230
_space_group_name_Hall '-I 4bd 2c 3'
loop_
_atom_site_label
_atom_site_fract_x
_atom_site_fract_y
_atom_site_fract_z
Sm1 0.021 0.075 0.650
Ge1 0.000 0.000 0.000
Ge2 0.000 0.250 0.375
Rh1 0.000 0.250 0.125
# - mass density (g/cm3) = 6.66
# - DFT formation energy (meV per atom) = -236
# - density of states at the Fermi level (states/eV per atom) = 0.667
# - spin magnetization (μB/cell) = 0.000

=====

Entry 3:
# Sm2GeRh, relaxed, DFT PBE-GGA
data_Sm2GeRh
_chemical_formula_sum 'Sm4 Ge2 Rh2'
_cell_length_a 5.892
_cell_length_b 4.251
_cell_length_c 8.087
_cell_angle_alpha 90.00
_cell_angle_beta 110.25
_cell_angle_gamma 90.00
_space_group_name_H-M_alt 'P 1 21/m 1'
_space_group_IT_number 11
loop_
_space_group_symop_operation_xyz
'x,y,z'
'-x,-y,-z'
'-x,y+1/2,-z'
'x,-y+1/2,z'
loop_
_atom_site_label
_atom_site_fract_x
_atom_site_fract_y
_atom_site_fract_z
Sm1 0.188 0.250 0.413
Sm2 0.279 0.750 0.060
Ge1 0.369 0.750 0.704
Rh1 0.146 0.250 0.788
# - mass density (g/cm3) = 8.32
# - DFT formation energy (meV per atom) = -803
# - density of states at the Fermi level (states/eV per atom) = 0.749
# - spin magnetization (μB/cell) = 0.000

=====

Number 1: volume 18.9 Å³/atom. Number 2: volume 30.9 Å³/atom. Number 3: volume 23.8 Å³/atom.